#w
VASP calculation (GGA-PBEsol) on crystalline Ir2OsRu at its relaxed geometry.

Unit cell a=5.3779 b=7.6470 c=2.6888 alpha=90.00 beta=90.00 gamma=90.00
Last column: nearest neighbours and their distance in Å.
Space group Cmmm (No. 65)
Asymmetric unit:
Ir  0.2500  0.2500  0.0000 (multiplicity 4)  4 Ir 2.69, 4 Ru 2.70, 4 Os 2.70
Os  0.0000  0.0000  0.5000 (multiplicity 2)  2 Os 2.69, 2 Ru 2.69, 8 Ir 2.70
Ru  0.0000  0.5000  0.5000 (multiplicity 2)  2 Ru 2.69, 2 Os 2.69, 8 Ir 2.70

---

#x
VASP calculation (GGA-PBEsol) on crystalline Ir2OsRu at its relaxed geometry.

Unit cell a=2.6919 b=2.6919 c=7.6395 alpha=90.00 beta=90.00 gamma=90.00
Last column: nearest neighbours and their distance in Å.
Space group P4mm (No. 99)
Asymmetric unit:
Ir  0.0000  0.0000  0.0000 (multiplicity 1)  4 Ru 2.68, 8 Ir 2.69-2.73
Ir  0.5000  0.5000  0.2566 (multiplicity 1)  8 Ir 2.69-2.73, 4 Os 2.69
Os  0.0000  0.0000  0.5060 (multiplicity 1)  4 Ru 2.68, 4 Os 2.69, 4 Ir 2.69
Ru  0.5000  0.5000  0.7523 (multiplicity 1)  4 Os 2.68, 4 Ir 2.68, 4 Ru 2.69

---

Which of them is the most stable? Correct choice: #w.

---

#w
VASP calculation (GGA-PBEsol) on crystalline CaNiW2 at its relaxed geometry.

Unit cell a=3.1809 b=3.1809 c=7.0965 alpha=90.00 beta=90.00 gamma=90.00
Last column: nearest neighbours and their distance in Å.
Space group P4/mmm (No. 123)
Asymmetric unit:
Ca  0.0000  0.0000  0.0000 (multiplicity 1)  4 Ca 3.18, 8 W 3.26, 2 Ni 3.55
Ni  0.0000  0.0000  0.5000 (multiplicity 1)  8 W 2.55
W  0.5000  0.5000  0.3320 (multiplicity 2)  1 W 2.38, 4 Ni 2.55

---

#x
VASP calculation (GGA-PBEsol) on crystalline CaNiW2 at its relaxed geometry.

Unit cell a=2.7965 b=2.7965 c=28.7447 alpha=90.00 beta=90.00 gamma=120.00
Last column: nearest neighbours and their distance in Å.
Space group R-3m (No. 166, hexagonal axes)
Asymmetric unit:
Ca  0.0000  0.0000  0.0000 (multiplicity 3)  6 Ca 2.80
Ni  0.0000  0.0000  0.5000 (multiplicity 3)  6 W 2.62, 6 Ni 2.80
W  0.0000  0.0000  0.2386 (multiplicity 6)  3 Ni 2.62, 6 W 2.80

---

Which of them is the most stable? Correct choice: #x.

---

#w
VASP calculation (GGA-PBEsol) on crystalline SrBiP3 at its relaxed geometry.

Unit cell a=5.2271 b=5.2271 c=5.2271 alpha=90.00 beta=90.00 gamma=90.00
Last column: nearest neighbours and their distance in Å.
Space group Pm-3m (No. 221)
Asymmetric unit:
Sr  0.0000  0.0000  0.0000 (multiplicity 1)  6 P 2.61
Bi  0.5000  0.5000  0.5000 (multiplicity 1)  12 P 3.70
P  0.0000  0.0000  0.5000 (multiplicity 3)  2 Sr 2.61

---

#x
VASP calculation (GGA-PBEsol) on crystalline SrBiP3 at its relaxed geometry.

Unit cell a=5.2085 b=5.2085 c=5.2085 alpha=90.00 beta=90.00 gamma=90.00
Last column: nearest neighbours and their distance in Å.
Space group Pm-3m (No. 221)
Asymmetric unit:
Sr  0.0000  0.0000  0.0000 (multiplicity 1)  12 P 3.68
Bi  0.5000  0.5000  0.5000 (multiplicity 1)  6 P 2.60
P  0.0000  0.5000  0.5000 (multiplicity 3)  2 Bi 2.60

---

Which of them is the most stable? Correct choice: #x.

---

#w
VASP calculation (GGA-PBEsol) on crystalline CoCuRh2 at its relaxed geometry.

Unit cell a=2.6149 b=2.6149 c=25.1175 alpha=90.00 beta=90.00 gamma=120.00
Last column: nearest neighbours and their distance in Å.
Space group R3m (No. 160, hexagonal axes)
Asymmetric unit:
Co  0.0000  0.0000  0.0000 (multiplicity 3)  3 Cu 2.50, 3 Rh 2.53, 6 Co 2.61
Cu  0.0000  0.0000  0.7461 (multiplicity 3)  3 Co 2.50, 3 Rh 2.61, 6 Cu 2.61
Rh  0.0000  0.0000  0.2527 (multiplicity 3)  3 Co 2.53, 9 Rh 2.61-2.68
Rh  0.0000  0.0000  0.4977 (multiplicity 3)  9 Rh 2.61-2.68, 3 Cu 2.61

---

#x
VASP calculation (GGA-PBEsol) on crystalline CoCuRh2 at its relaxed geometry.

Unit cell a=2.6284 b=3.5641 c=5.2604 alpha=90.00 beta=90.00 gamma=90.00
Last column: nearest neighbours and their distance in Å.
Space group Pmmm (No. 47)
Asymmetric unit:
Co  0.0000  0.0000  0.0000 (multiplicity 1)  8 Rh 2.57, 2 Co 2.63, 2 Cu 2.63
Cu  0.0000  0.0000  0.5000 (multiplicity 1)  8 Rh 2.58, 2 Cu 2.63, 2 Co 2.63
Rh  0.5000  0.5000  0.2468 (multiplicity 2)  4 Co 2.57, 4 Cu 2.58, 4 Rh 2.60-2.66

---

Which of them is the most stable? Correct choice: #w.

---

#w
VASP calculation (GGA-PBEsol) on crystalline AlC2 at its relaxed geometry.

Unit cell a=3.0676 b=3.0676 c=7.4795 alpha=90.00 beta=90.00 gamma=120.00
Last column: nearest neighbours and their distance in Å.
Space group P6_3/mmc (No. 194)
Asymmetric unit:
Al  0.0000  0.0000  0.0000 (multiplicity 2)  6 C 2.15
C  0.3333  0.6667  0.1635 (multiplicity 4)  1 C 1.29

---

#x
VASP calculation (GGA-PBEsol) on crystalline AlC2 at its relaxed geometry.

Unit cell a=3.5530 b=3.5530 c=7.9389 alpha=90.00 beta=90.00 gamma=90.00
Last column: nearest neighbours and their distance in Å.
Space group I4_1/amd (No. 141, origin choice 2)
Asymmetric unit:
Al  0.0000  0.2500  0.3750 (multiplicity 4)  4 C 2.16
C  0.0000  0.2500  0.7806 (multiplicity 8)  1 C 1.50

---

Which of them is the most stable? Correct choice: #w.

---

#w
VASP calculation (GGA-PBEsol) on crystalline Cd2AgAu at its relaxed geometry.

Unit cell a=2.9907 b=2.9907 c=8.1700 alpha=90.00 beta=90.00 gamma=90.00
Last column: nearest neighbours and their distance in Å.
Space group P4mm (No. 99)
Asymmetric unit:
Cd  0.0000  0.0000  0.0000 (multiplicity 1)  4 Au 2.90, 8 Cd 2.99-3.09
Cd  0.5000  0.5000  0.2757 (multiplicity 1)  4 Ag 2.91, 8 Cd 2.99-3.09
Ag  0.0000  0.0000  0.5199 (multiplicity 1)  4 Au 2.87, 4 Cd 2.91, 4 Ag 2.99
Au  0.5000  0.5000  0.7567 (multiplicity 1)  4 Ag 2.87, 4 Cd 2.90, 4 Au 2.99

---

#x
VASP calculation (GGA-PBEsol) on crystalline Cd2AgAu at its relaxed geometry.

Unit cell a=6.2659 b=6.2780 c=3.6803 alpha=90.00 beta=90.00 gamma=90.00
Last column: nearest neighbours and their distance in Å.
Space group Cmmm (No. 65)
Asymmetric unit:
Cd  0.2500  0.2500  0.0000 (multiplicity 4)  4 Ag 2.88, 4 Au 2.88, 4 Cd 3.13-3.14
Ag  0.0000  0.0000  0.5000 (multiplicity 2)  8 Cd 2.88, 4 Au 3.13-3.14
Au  0.0000  0.5000  0.5000 (multiplicity 2)  8 Cd 2.88, 4 Ag 3.13-3.14

---

Which of them is the most stable? Correct choice: #x.

---

#w
VASP calculation (GGA-PBEsol) on crystalline IrRu2 at its relaxed geometry.

Unit cell a=9.7641 b=2.6979 c=6.3488 alpha=90.00 beta=103.75 gamma=90.00
Last column: nearest neighbours and their distance in Å.
Space group Cm (No. 8)
Asymmetric unit:
Ir  0.0000  0.0000  0.0000 (multiplicity 2)  8 Ru 2.63-2.69, 4 Ir 2.70-2.74
Ir  0.1695  0.5000  0.3391 (multiplicity 2)  8 Ru 2.64-2.68, 4 Ir 2.70-2.74
Ru  0.0566  0.0000  0.6145 (multiplicity 2)  3 Ir 2.63-2.65, 9 Ru 2.64-2.70
Ru  0.2237  0.5000  0.9455 (multiplicity 2)  4 Ir 2.64-2.67, 8 Ru 2.64-2.72
Ru  0.3348  0.0000  0.6692 (multiplicity 2)  8 Ru 2.64-2.70, 4 Ir 2.68-2.69
Ru  0.3905  0.0000  0.2816 (multiplicity 2)  5 Ir 2.64-2.66, 7 Ru 2.64-2.72

---

#x
VASP calculation (GGA-PBEsol) on crystalline IrRu2 at its relaxed geometry.

Unit cell a=3.7848 b=3.7848 c=22.7148 alpha=90.00 beta=90.00 gamma=90.00
Last column: nearest neighbours and their distance in Å.
Space group I4_1/amd (No. 141, origin choice 2)
Asymmetric unit:
Ir  0.0000  0.2500  0.2924 (multiplicity 8)  10 Ru 2.66-2.69, 2 Ir 2.70
Ru  0.0000  0.2500  0.1254 (multiplicity 8)  4 Ir 2.66-2.67, 8 Ru 2.66-2.68
Ru  0.0000  0.2500  0.7920 (multiplicity 8)  6 Ru 2.66-2.69, 6 Ir 2.68-2.69

---

Which of them is the most stable? Correct choice: #w.